(1)
Entry from Alexandria: an optimized crystal structure of Er4ThMg (PBE).

Structure (CIF):
```
data_Er4ThMg
_chemical_formula_sum 'Er4 Th1 Mg1'
_cell_length_a 3.550
_cell_length_b 3.550
_cell_length_c 14.225
_cell_angle_alpha 90.00
_cell_angle_beta 90.00
_cell_angle_gamma 90.00
_space_group_name_H-M_alt 'P 1'
_space_group_IT_number 1
loop_
_space_group_symop_operation_xyz
'x,y,z'
loop_
_atom_site_label
_atom_site_type_symbol
_atom_site_fract_x
_atom_site_fract_y
_atom_site_fract_z
_atom_site_occupancy
Mg1 Mg 0.500 0.500 0.500 1
Th1 Th 0.000 0.000 0.000 1
Er1 Er 0.500 0.500 0.828 1
Er2 Er 0.500 0.500 0.172 1
Er3 Er 0.000 0.000 0.652 1
Er4 Er 0.000 0.000 0.348 1
```

Output
E_form: -2 meV per atom
E: -4.546 eV/atom
M_tot: 0.000 μB/f.u.
energy above the most stable polymorph in this dataset: 0.000 eV/atom

---

(2)
Entry from Alexandria: an optimized crystal structure of Er2ThMg5 (PBE).

Structure (CIF):
```
data_Er2ThMg5
_chemical_formula_sum 'Er2 Th1 Mg5'
_cell_length_a 5.269
_cell_length_b 5.269
_cell_length_c 8.412
_cell_angle_alpha 108.25
_cell_angle_beta 108.25
_cell_angle_gamma 90.00
_space_group_name_H-M_alt 'P 1'
_space_group_IT_number 1
loop_
_space_group_symop_operation_xyz
'x,y,z'
loop_
_atom_site_label
_atom_site_type_symbol
_atom_site_fract_x
_atom_site_fract_y
_atom_site_fract_z
_atom_site_occupancy
Er1 Er 0.255 0.255 0.510 1
Er2 Er 0.745 0.745 0.490 1
Th1 Th 0.000 0.000 0.000 1
Mg1 Mg 0.376 0.876 0.751 1
Mg2 Mg 0.876 0.376 0.751 1
Mg3 Mg 0.124 0.624 0.249 1
Mg4 Mg 0.624 0.124 0.249 1
Mg5 Mg 0.500 0.500 0.000 1
```

Output
E_form: -1 meV per atom
E: -3.065 eV/atom
M_tot: 0.298 μB/f.u.

---

(3)
Entry from Alexandria: an optimized crystal structure of Er2ThMg (PBE).

Structure (CIF):
```
data_Er2ThMg
_chemical_formula_sum 'Er2 Th1 Mg1'
_cell_length_a 3.479
_cell_length_b 3.479
_cell_length_c 12.202
_cell_angle_alpha 81.80
_cell_angle_beta 81.80
_cell_angle_gamma 60.00
_space_group_name_H-M_alt 'P 1'
_space_group_IT_number 1
loop_
_space_group_symop_operation_xyz
'x,y,z'
loop_
_atom_site_label
_atom_site_type_symbol
_atom_site_fract_x
_atom_site_fract_y
_atom_site_fract_z
_atom_site_occupancy
Th1 Th 0.500 0.500 0.500 1
Er1 Er 0.910 0.910 0.270 1
Er2 Er 0.090 0.090 0.730 1
Mg1 Mg 0.000 0.000 0.000 1
```

Output
E_form: 198 meV per atom
E: -4.337 eV/atom
M_tot: 0.000 μB/f.u.
energy above the most stable polymorph in this dataset: 0.236 eV/atom

---

(4)
Entry from Alexandria: an optimized crystal structure of Er2ThMg2 (PBE).

Structure (CIF):
```
data_Er2ThMg2
_chemical_formula_sum 'Er2 Th1 Mg2'
_cell_length_a 3.455
_cell_length_b 3.493
_cell_length_c 12.261
_cell_angle_alpha 81.81
_cell_angle_beta 90.00
_cell_angle_gamma 90.00
_space_group_name_H-M_alt 'P 1'
_space_group_IT_number 1
loop_
_space_group_symop_operation_xyz
'x,y,z'
loop_
_atom_site_label
_atom_site_type_symbol
_atom_site_fract_x
_atom_site_fract_y
_atom_site_fract_z
_atom_site_occupancy
Er1 Er 0.500 0.601 0.797 1
Er2 Er 0.500 0.399 0.203 1
Th1 Th 0.000 0.000 0.000 1
Mg1 Mg 0.000 0.803 0.394 1
Mg2 Mg 0.000 0.197 0.606 1
```

Output
E_form: 45 meV per atom
E: -3.902 eV/atom
M_tot: 0.000 μB/f.u.

---

(5)
Entry from Alexandria: an optimized crystal structure of Er4ThMg (PBE).

Structure (CIF):
```
data_Er4ThMg
_chemical_formula_sum 'Er8 Th2 Mg2'
_cell_length_a 9.171
_cell_length_b 5.679
_cell_length_c 10.025
_cell_angle_alpha 88.29
_cell_angle_beta 105.28
_cell_angle_gamma 133.21
_space_group_name_H-M_alt 'P 1'
_space_group_IT_number 1
loop_
_space_group_symop_operation_xyz
'x,y,z'
loop_
_atom_site_label
_atom_site_type_symbol
_atom_site_fract_x
_atom_site_fract_y
_atom_site_fract_z
_atom_site_occupancy
Er1 Er 0.538 0.290 0.081 1
Er2 Er 0.219 0.048 0.423 1
Er3 Er 0.704 0.375 0.423 1
Er4 Er 0.957 0.209 0.919 1
Er5 Er 0.781 0.952 0.577 1
Er6 Er 0.462 0.710 0.919 1
Er7 Er 0.296 0.625 0.577 1
Er8 Er 0.043 0.791 0.081 1
Th1 Th 0.875 0.125 0.251 1
Th2 Th 0.125 0.875 0.749 1
Mg1 Mg 0.632 0.382 0.764 1
Mg2 Mg 0.368 0.618 0.236 1
```

Output
E_form: 137 meV per atom
E: -4.407 eV/atom
M_tot: 0.000 μB/f.u.
energy above the most stable polymorph in this dataset: 0.139 eV/atom

---

(6)
Entry from Alexandria: an optimized crystal structure of ErThMg4 (PBE).

Structure (CIF):
```
data_ErThMg4
_chemical_formula_sum 'Er1 Th1 Mg4'
_cell_length_a 6.024
_cell_length_b 6.024
_cell_length_c 6.024
_cell_angle_alpha 60.00
_cell_angle_beta 60.00
_cell_angle_gamma 60.00
_space_group_name_H-M_alt 'P 1'
_space_group_IT_number 1
loop_
_space_group_symop_operation_xyz
'x,y,z'
loop_
_atom_site_label
_atom_site_type_symbol
_atom_site_fract_x
_atom_site_fract_y
_atom_site_fract_z
_atom_site_occupancy
Mg1 Mg 0.625 0.625 0.625 1
Mg2 Mg 0.625 0.126 0.625 1
Mg3 Mg 0.625 0.625 0.126 1
Mg4 Mg 0.126 0.625 0.625 1
Er1 Er 0.250 0.250 0.250 1
Th1 Th 0.000 0.000 0.000 1
```

Output
E_form: -10 meV per atom
E: -3.070 eV/atom
M_tot: 0.000 μB/f.u.

---

(7)
Entry from Alexandria: an optimized crystal structure of ErThMg2 (PBE).

Structure (CIF):
```
data_ErThMg2
_chemical_formula_sum 'Er1 Th1 Mg2'
_cell_length_a 3.745
_cell_length_b 3.745
_cell_length_c 7.835
_cell_angle_alpha 90.00
_cell_angle_beta 90.00
_cell_angle_gamma 90.00
_space_group_name_H-M_alt 'P 1'
_space_group_IT_number 1
loop_
_space_group_symop_operation_xyz
'x,y,z'
loop_
_atom_site_label
_atom_site_type_symbol
_atom_site_fract_x
_atom_site_fract_y
_atom_site_fract_z
_atom_site_occupancy
Er1 Er 0.500 0.500 0.500 1
Mg1 Mg 0.000 0.000 0.737 1
Mg2 Mg 0.000 0.000 0.263 1
Th1 Th 0.500 0.500 0.000 1
```

Output
E_form: 16 meV per atom
E: -3.777 eV/atom
M_tot: 0.000 μB/f.u.
energy above the most stable polymorph in this dataset: 0.011 eV/atom

---

(8)
Entry from Alexandria: an optimized crystal structure of ErTh2Mg6 (PBE).

Structure (CIF):
```
data_ErTh2Mg6
_chemical_formula_sum 'Er1 Th2 Mg6'
_cell_length_a 6.219
_cell_length_b 6.219
_cell_length_c 6.219
_cell_angle_alpha 93.93
_cell_angle_beta 93.93
_cell_angle_gamma 93.93
_space_group_name_H-M_alt 'P 1'
_space_group_IT_number 1
loop_
_space_group_symop_operation_xyz
'x,y,z'
loop_
_atom_site_label
_atom_site_type_symbol
_atom_site_fract_x
_atom_site_fract_y
_atom_site_fract_z
_atom_site_occupancy
Mg1 Mg 0.500 0.837 0.163 1
Mg2 Mg 0.837 0.163 0.500 1
Mg3 Mg 0.163 0.837 0.500 1
Mg4 Mg 0.837 0.500 0.163 1
Mg5 Mg 0.500 0.163 0.837 1
Mg6 Mg 0.163 0.500 0.837 1
Th1 Th 0.343 0.343 0.343 1
Th2 Th 0.657 0.657 0.657 1
Er1 Er 0.000 0.000 0.000 1
```

Output
E_form: 3 meV per atom
E: -3.215 eV/atom
M_tot: 0.000 μB/f.u.

---

(9)
Entry from Alexandria: an optimized crystal structure of Er2ThMg (PBE).

Structure (CIF):
```
data_Er2ThMg
_chemical_formula_sum 'Er2 Th1 Mg1'
_cell_length_a 3.567
_cell_length_b 3.567
_cell_length_c 9.167
_cell_angle_alpha 90.00
_cell_angle_beta 90.00
_cell_angle_gamma 90.00
_space_group_name_H-M_alt 'P 1'
_space_group_IT_number 1
loop_
_space_group_symop_operation_xyz
'x,y,z'
loop_
_atom_site_label
_atom_site_type_symbol
_atom_site_fract_x
_atom_site_fract_y
_atom_site_fract_z
_atom_site_occupancy
Mg1 Mg 0.500 0.500 0.000 1
Th1 Th 0.500 0.500 0.500 1
Er1 Er 0.000 0.000 0.239 1
Er2 Er 0.000 0.000 0.761 1
```

Output
E_form: -38 meV per atom
E: -4.573 eV/atom
M_tot: 0.000 μB/f.u.
energy above the most stable polymorph in this dataset: 0.000 eV/atom

---

(10)
Entry from Alexandria: an optimized crystal structure of Er4ThMg5 (PBE).

Structure (CIF):
```
data_Er4ThMg5
_chemical_formula_sum 'Er4 Th1 Mg5'
_cell_length_a 3.763
_cell_length_b 3.763
_cell_length_c 19.036
_cell_angle_alpha 90.00
_cell_angle_beta 90.00
_cell_angle_gamma 90.00
_space_group_name_H-M_alt 'P 1'
_space_group_IT_number 1
loop_
_space_group_symop_operation_xyz
'x,y,z'
loop_
_atom_site_label
_atom_site_type_symbol
_atom_site_fract_x
_atom_site_fract_y
_atom_site_fract_z
_atom_site_occupancy
Mg1 Mg 0.500 0.500 0.500 1
Mg2 Mg 0.500 0.500 0.893 1
Mg3 Mg 0.500 0.500 0.107 1
Mg4 Mg 0.500 0.500 0.302 1
Mg5 Mg 0.500 0.500 0.698 1
Er1 Er 0.000 0.000 0.599 1
Er2 Er 0.000 0.000 0.797 1
Er3 Er 0.000 0.000 0.203 1
Er4 Er 0.000 0.000 0.401 1
Th1 Th 0.000 0.000 0.000 1
```

Output
E_form: -35 meV per atom
E: -3.400 eV/atom
M_tot: 0.000 μB/f.u.